No. 1
Material: CaDyMg
Method: DFT, PBE
State: optimized geometry

Results
DFT formation energy = -0.037 eV per atom
D(E_F) = 7.95 states/eV per cell
Distance to the lowest polymorph of the same formula = 0.00 eV/f.u.
DFT total energy = -2.769 eV per atom
Mass density = 3.98 g/cm3

Cell lengths 3.7399, 3.7399, 13.5485 Å; angles 90.00, 90.00, 90.00 degrees
Closest atoms and distances in Å follow each position.
Element x y z (fractional)
1 Ca 0.2500 0.2500 0.1081  4 Mg 3.41, 4 Ca 3.74
2 Ca 0.7500 0.7500 0.8919  4 Mg 3.41, 4 Ca 3.74
3 Dy 0.2500 0.2500 0.4150  4 Mg 3.32, 4 Dy 3.51
4 Dy 0.7500 0.7500 0.5850  4 Mg 3.32, 4 Dy 3.51
5 Mg 0.2500 0.2500 0.7327  4 Dy 3.32, 4 Ca 3.41
6 Mg 0.7500 0.7500 0.2673  4 Dy 3.32, 4 Ca 3.41

No. 2
Material: CaDy2Mg
Method: DFT, PBE
State: optimized geometry

Results
DFT formation energy = 0.033 eV per atom
D(E_F) = 4.73 states/eV per cell
Distance to the lowest polymorph of the same formula = 0.00 eV/f.u.
DFT total energy = -3.167 eV per atom
Mass density = 5.08 g/cm3

Cell lengths 3.7704, 3.7704, 8.9471 Å; angles 90.00, 90.00, 90.00 degrees
Closest atoms and distances in Å follow each position.
Element x y z (fractional)
1 Ca 0.0000 0.0000 0.0000  4 Ca 3.77, 8 Dy 3.77
2 Dy 0.5000 0.5000 0.2981  4 Mg 3.22
3 Dy 0.5000 0.5000 0.7019  4 Mg 3.22
4 Mg 0.0000 0.0000 0.5000  8 Dy 3.22

No. 3
Material: Ca2DyMg
Method: DFT, PBE
State: optimized geometry

Results
DFT formation energy = 0.079 eV per atom
D(E_F) = 5.59 states/eV per cell
Distance to the lowest polymorph of the same formula = 0.01 eV/f.u.
DFT total energy = -2.471 eV per atom
Mass density = 3.31 g/cm3

Cell lengths 5.0026, 5.0026, 5.3591 Å; angles 90.00, 90.00, 90.00 degrees
Closest atoms and distances in Å follow each position.
Element x y z (fractional)
1 Ca 0.0000 0.5000 0.0000  4 Ca 3.54, 4 Dy 3.67, 4 Mg 3.67
2 Ca 0.5000 0.0000 0.0000  4 Ca 3.54, 4 Dy 3.67, 4 Mg 3.67
3 Dy 0.0000 0.0000 0.5000  4 Mg 3.54, 8 Ca 3.67
4 Mg 0.5000 0.5000 0.5000  4 Dy 3.54, 8 Ca 3.67

No. 4
Material: Ca2Dy2Mg15
Method: DFT, PBE
State: optimized geometry

Results
DFT formation energy = 0.000 eV per atom
D(E_F) = 14.97 states/eV per cell
DFT total energy = -1.954 eV per atom
Mass density = 2.54 g/cm3

Cell lengths 8.0139, 8.0139, 8.0139 Å; angles 82.56, 82.56, 82.56 degrees
Closest atoms and distances in Å follow each position.
Element x y z (fractional)
1 Ca 0.1620 0.1620 0.1620  18 Mg 3.74-4.11, 1 Dy 3.74
2 Ca 0.8380 0.8380 0.8380  18 Mg 3.74-4.11, 1 Dy 3.74
3 Dy 0.4019 0.4019 0.4019  1 Dy 3.06, 6 Mg 3.23-3.38
4 Dy 0.5981 0.5981 0.5981  1 Dy 3.06, 6 Mg 3.23-3.38
5 Mg 0.0000 0.5000 0.5000  8 Mg 3.05-3.09, 2 Dy 3.23
6 Mg 0.1461 0.1461 0.6533  8 Mg 3.06-3.30, 1 Dy 3.38
7 Mg 0.1461 0.6533 0.1461  8 Mg 3.06-3.30, 1 Dy 3.38
8 Mg 0.2036 0.5000 0.7964  8 Mg 3.05-3.30
9 Mg 0.2036 0.7964 0.5000  8 Mg 3.05-3.30
10 Mg 0.3467 0.8539 0.8539  8 Mg 3.06-3.30, 1 Dy 3.38
11 Mg 0.5000 0.0000 0.5000  8 Mg 3.05-3.09, 2 Dy 3.23
12 Mg 0.5000 0.2036 0.7964  8 Mg 3.05-3.30
13 Mg 0.5000 0.5000 0.0000  8 Mg 3.05-3.09, 2 Dy 3.23
14 Mg 0.5000 0.7964 0.2036  8 Mg 3.05-3.30
15 Mg 0.6533 0.1461 0.1461  8 Mg 3.06-3.30, 1 Dy 3.38
16 Mg 0.7964 0.2036 0.5000  8 Mg 3.05-3.30
17 Mg 0.7964 0.5000 0.2036  8 Mg 3.05-3.30
18 Mg 0.8539 0.3467 0.8539  8 Mg 3.06-3.30, 1 Dy 3.38
19 Mg 0.8539 0.8539 0.3467  8 Mg 3.06-3.30, 1 Dy 3.38

No. 5
Material: Ca2DyMg
Method: DFT, PBE
State: optimized geometry

Results
DFT formation energy = 0.230 eV per atom
D(E_F) = 15.88 states/eV per cell
Distance to the lowest polymorph of the same formula = 0.61 eV/f.u.
DFT total energy = -2.320 eV per atom
Mass density = 3.22 g/cm3

Cell lengths 3.5624, 3.5624, 37.5520 Å; angles 90.00, 90.00, 120.00 degrees
Closest atoms and distances in Å follow each position.
Element x y z (fractional)
1 Ca 0.0000 0.0000 0.0917  1 Dy 3.44, 3 Mg 3.49, 6 Ca 3.56
2 Ca 0.0000 0.0000 0.9083  1 Dy 3.44, 3 Mg 3.49, 6 Ca 3.56
3 Ca 0.3333 0.6667 0.5749  1 Dy 3.44, 3 Mg 3.49, 6 Ca 3.56
4 Ca 0.3333 0.6667 0.7584  1 Dy 3.44, 3 Mg 3.49, 6 Ca 3.56
5 Ca 0.6667 0.3333 0.2416  1 Dy 3.44, 3 Mg 3.49, 6 Ca 3.56
6 Ca 0.6667 0.3333 0.4251  1 Dy 3.44, 3 Mg 3.49, 6 Ca 3.56
7 Dy 0.0000 0.0000 0.0000  2 Ca 3.44, 6 Dy 3.56
8 Dy 0.3333 0.6667 0.6667  2 Ca 3.44, 6 Dy 3.56
9 Dy 0.6667 0.3333 0.3333  2 Ca 3.44, 6 Dy 3.56
10 Mg 0.0000 0.0000 0.5000  6 Ca 3.49, 6 Mg 3.56
11 Mg 0.3333 0.6667 0.1667  6 Ca 3.49, 6 Mg 3.56
12 Mg 0.6667 0.3333 0.8333  6 Ca 3.49, 6 Mg 3.56

No. 6
Material: Ca2DyMg5
Method: DFT, PBE
State: optimized geometry

Results
DFT formation energy = -0.063 eV per atom
D(E_F) = 10.26 states/eV per cell
DFT total energy = -2.135 eV per atom
Mass density = 2.72 g/cm3

Cell lengths 5.3977, 5.3977, 15.2687 Å; angles 90.00, 90.00, 90.00 degrees
Closest atoms and distances in Å follow each position.
Element x y z (fractional)
1 Ca 0.0000 0.0000 0.2470  9 Mg 3.37-3.77
2 Ca 0.0000 0.0000 0.7530  9 Mg 3.37-3.77
3 Ca 0.5000 0.5000 0.2530  9 Mg 3.37-3.77
4 Ca 0.5000 0.5000 0.7470  9 Mg 3.37-3.77
5 Dy 0.0000 0.0000 0.5000  8 Mg 3.22
6 Dy 0.5000 0.5000 0.0000  8 Mg 3.22
7 Mg 0.0000 0.0000 0.0000  8 Mg 3.22
8 Mg 0.0000 0.5000 0.1148  2 Dy 3.22, 3 Mg 3.22-3.51, 4 Ca 3.37-3.43
9 Mg 0.0000 0.5000 0.3852  2 Dy 3.22, 3 Mg 3.22-3.51, 4 Ca 3.37-3.43
10 Mg 0.0000 0.5000 0.6148  2 Dy 3.22, 3 Mg 3.22-3.51, 4 Ca 3.37-3.43
11 Mg 0.0000 0.5000 0.8852  2 Dy 3.22, 3 Mg 3.22-3.51, 4 Ca 3.37-3.43
12 Mg 0.5000 0.0000 0.1148  2 Dy 3.22, 3 Mg 3.22-3.51, 4 Ca 3.37-3.43
13 Mg 0.5000 0.0000 0.3852  2 Dy 3.22, 3 Mg 3.22-3.51, 4 Ca 3.37-3.43
14 Mg 0.5000 0.0000 0.6148  2 Dy 3.22, 3 Mg 3.22-3.51, 4 Ca 3.37-3.43
15 Mg 0.5000 0.0000 0.8852  2 Dy 3.22, 3 Mg 3.22-3.51, 4 Ca 3.37-3.43
16 Mg 0.5000 0.5000 0.5000  8 Mg 3.22

No. 7
Material: Ca2DyMg
Method: DFT, PBE
State: optimized geometry

Results
DFT formation energy = 0.092 eV per atom
D(E_F) = 17.10 states/eV per cell
Distance to the lowest polymorph of the same formula = 0.06 eV/f.u.
DFT total energy = -2.458 eV per atom
Mass density = 3.24 g/cm3

Cell lengths 3.6762, 3.6762, 35.0509 Å; angles 90.00, 90.00, 120.00 degrees
Closest atoms and distances in Å follow each position.
Element x y z (fractional)
1 Ca 0.0000 0.0000 0.0000  3 Mg 3.50, 6 Ca 3.68, 3 Dy 3.70
2 Ca 0.0000 0.0000 0.1739  3 Mg 3.52, 6 Ca 3.68, 3 Dy 3.72
3 Ca 0.3333 0.6667 0.6667  3 Mg 3.50, 6 Ca 3.68, 3 Dy 3.70
4 Ca 0.3333 0.6667 0.8406  3 Mg 3.52, 6 Ca 3.68, 3 Dy 3.72
5 Ca 0.6667 0.3333 0.3333  3 Mg 3.50, 6 Ca 3.68, 3 Dy 3.70
6 Ca 0.6667 0.3333 0.5072  3 Mg 3.52, 6 Ca 3.68, 3 Dy 3.72
7 Dy 0.0000 0.0000 0.7533  6 Dy 3.68, 6 Ca 3.70-3.72
8 Dy 0.3333 0.6667 0.4200  6 Dy 3.68, 6 Ca 3.70-3.72
9 Dy 0.6667 0.3333 0.0866  6 Dy 3.68, 6 Ca 3.70-3.72
10 Mg 0.0000 0.0000 0.5872  6 Ca 3.50-3.52, 6 Mg 3.68
11 Mg 0.3333 0.6667 0.2539  6 Ca 3.50-3.52, 6 Mg 3.68
12 Mg 0.6667 0.3333 0.9205  6 Ca 3.50-3.52, 6 Mg 3.68

No. 8
Material: CaDy3Mg4
Method: DFT, PBE
State: optimized geometry

Results
DFT formation energy = -0.065 eV per atom
D(E_F) = 10.03 states/eV per cell
DFT total energy = -2.838 eV per atom
Mass density = 4.61 g/cm3

Cell lengths 5.4272, 5.4272, 7.6369 Å; angles 90.00, 90.00, 90.00 degrees
Closest atoms and distances in Å follow each position.
Element x y z (fractional)
1 Ca 0.0000 0.0000 0.0000  8 Mg 3.34
2 Dy 0.0000 0.0000 0.5000  8 Mg 3.30
3 Dy 0.5000 0.5000 0.0000  8 Mg 3.34
4 Dy 0.5000 0.5000 0.5000  8 Mg 3.30
5 Mg 0.0000 0.5000 0.2552  6 Dy 3.30-3.34, 2 Ca 3.34
6 Mg 0.0000 0.5000 0.7448  6 Dy 3.30-3.34, 2 Ca 3.34
7 Mg 0.5000 0.0000 0.2552  6 Dy 3.30-3.34, 2 Ca 3.34
8 Mg 0.5000 0.0000 0.7448  6 Dy 3.30-3.34, 2 Ca 3.34

No. 9
Material: Ca5DyMg4
Method: DFT, PBE
State: optimized geometry

Results
DFT formation energy = -0.017 eV per atom
D(E_F) = 12.54 states/eV per cell
DFT total energy = -2.116 eV per atom
Mass density = 2.37 g/cm3

Cell lengths 3.9182, 3.9182, 20.9848 Å; angles 90.00, 90.00, 90.00 degrees
Closest atoms and distances in Å follow each position.
Element x y z (fractional)
1 Ca 0.0000 0.0000 0.0000  8 Mg 3.41
2 Ca 0.0000 0.0000 0.1917  8 Mg 3.44
3 Ca 0.0000 0.0000 0.3835  4 Mg 3.41, 4 Dy 3.69
4 Ca 0.0000 0.0000 0.6165  4 Mg 3.41, 4 Dy 3.69
5 Ca 0.0000 0.0000 0.8083  8 Mg 3.44
6 Dy 0.5000 0.5000 0.5000  8 Ca 3.69, 4 Dy 3.92
7 Mg 0.5000 0.5000 0.0946  8 Ca 3.41-3.44
8 Mg 0.5000 0.5000 0.2886  8 Ca 3.41-3.44
9 Mg 0.5000 0.5000 0.7114  8 Ca 3.41-3.44
10 Mg 0.5000 0.5000 0.9054  8 Ca 3.41-3.44

No. 10
Material: CaDy2Mg9
Method: DFT, PBE
State: optimized geometry

Results
DFT formation energy = -0.044 eV per atom
D(E_F) = 11.55 states/eV per cell
DFT total energy = -2.174 eV per atom
Mass density = 3.07 g/cm3

Cell lengths 10.4718, 10.4718, 10.4718 Å; angles 33.73, 33.73, 33.73 degrees
Closest atoms and distances in Å follow each position.
Element x y z (fractional)
1 Ca 0.0000 0.0000 0.0000  6 Mg 3.51
2 Dy 0.1472 0.1472 0.1472  12 Mg 3.45-3.56, 3 Dy 3.69
3 Dy 0.8528 0.8528 0.8528  12 Mg 3.45-3.56, 3 Dy 3.69
4 Mg 0.0804 0.5878 0.5878  7 Mg 2.99-3.08
5 Mg 0.3343 0.3343 0.3343  6 Mg 3.07-3.08
6 Mg 0.4122 0.4122 0.9196  7 Mg 2.99-3.08
7 Mg 0.4122 0.9196 0.4122  7 Mg 2.99-3.08
8 Mg 0.5000 0.5000 0.5000  6 Mg 2.99
9 Mg 0.5878 0.0804 0.5878  7 Mg 2.99-3.08
10 Mg 0.5878 0.5878 0.0804  7 Mg 2.99-3.08
11 Mg 0.6657 0.6657 0.6657  6 Mg 3.07-3.08
12 Mg 0.9196 0.4122 0.4122  7 Mg 2.99-3.08